CdTcNi after structural relaxation. Source: Alexandria, functional PBE.

Results
ΔE_f: 0.204 eV/atom

Unit cell a=6.163 b=6.163 c=2.785 alpha=76.94 beta=76.95 gamma=26.11
Positions (direct):
Ni1 0.320 0.320 0.680
Tc1 0.686 0.686 0.314
Cd1 0.994 0.994 0.006